1.
## Ba2PtS (PBE-GGA)

Data for a relaxed Ba2PtS crystal.

Calculated values
**Crystal system**: tetragonal

POSCAR file:
```
Ba2PtS
1.0
-3.561 3.561 7.034
3.561 -3.561 7.034
3.561 3.561 -7.034
Ba Pt S
4 2 2
direct
0.121 0.625 0.996
0.375 0.371 0.496
0.629 0.125 0.004
0.875 0.879 0.504
0.250 0.750 0.500
0.500 0.500 0.000
0.000 0.000 0.000
0.750 0.250 0.500
```

2.
## AgPtCl2 (PBE-GGA)

Data for a relaxed AgPtCl2 crystal.

Calculated values
**E above lowest polymorph**: 0.273 eV per atom
**Crystal system**: orthorhombic

POSCAR file:
```
AgPtCl2
1.0
3.172 0.000 0.000
0.000 4.010 0.000
0.000 0.000 6.564
Ag Pt Cl
1 1 2
direct
0.000 0.000 0.000
0.500 0.000 0.500
0.000 0.500 0.500
0.500 0.500 0.000
```

For reference, mass density by record: 4.672, 7.435 g cm⁻³.
For reference, volume by record: 44.585, 20.873 A^3/atom.
For reference, formation energy without anion corrections by record: -1.092, 0.149 eV per atom.